PC3: optimized geometry, GGA-PBE.

The structure belongs to space group P4/mmm (No. 123); the cell edges are 5.117, 5.117 and 2.940 Å and the angles 90.00°, 90.00° and 90.00°. The inequivalent atoms are P at (0.000, 0.000, 0.000), C at (0.000, 0.000, 0.500) and C at (0.500, 0.500, 0.270).

Its energy of formation from the pure elements is 2.115 eV per atom. As for the calculated total energy: -6.156 eV/atom. For the density, the calculation gives 1445 kg/m³.

PC2: optimized geometry, GGA-PBE.

The structure belongs to space group Cm (No. 8); the cell edges are 2.472, 7.984 and 4.448 Å and the angles 90.00°, 100.45° and 90.00°. The inequivalent atoms are P at (0.000, 0.000, 0.000) and C at (0.056, 0.207, 0.173).

Its energy of formation from the pure elements is 0.511 eV per atom. As for the calculated total energy: -7.442 eV/atom. For the density, the calculation gives 2115 kg/m³.

PC2: optimized geometry, GGA-PBE.

The structure belongs to space group I4_1/amd (No. 141, origin choice 2); the cell edges are 2.558, 2.558 and 30.487 Å and the angles 90.00°, 90.00° and 90.00°. The inequivalent atoms are P at (0.000, 0.250, 0.309), C at (0.000, 0.250, 0.013) and C at (0.000, 0.250, 0.116).

Its energy of formation from the pure elements is 1.477 eV per atom. As for the calculated total energy: -6.476 eV/atom. For the density, the calculation gives 3662 kg/m³.

Pa3PC2: optimized geometry, GGA-PBE.

The structure belongs to space group C2/m (No. 12); the cell edges are 5.322, 5.321 and 8.303 Å and the angles 90.00°, 108.56° and 90.00°. The inequivalent atoms are Pa at (0.000, 0.000, 0.000), Pa at (0.175, 0.500, 0.349), P at (0.000, 0.500, 0.000) and C at (0.172, 0.000, 0.345).

Its energy of formation from the pure elements is -0.610 eV per atom. As for the calculated total energy: -9.335 eV/atom. For the density, the calculation gives 11148 kg/m³.

Pa4P3C: optimized geometry, GGA-PBE.

The structure belongs to space group Pm-3m (No. 221); the cell edges are 5.502, 5.502 and 5.502 Å and the angles 90.00°, 90.00° and 90.00°. The inequivalent atoms are Pa at (0.000, 0.000, 0.000), Pa at (0.000, 0.500, 0.500), P at (0.000, 0.000, 0.500) and C at (0.500, 0.500, 0.500).

Its energy of formation from the pure elements is -0.979 eV per atom. As for the calculated total energy: -8.909 eV/atom. For the density, the calculation gives 10261 kg/m³.

PaPC: optimized geometry, GGA-PBE.

The structure belongs to space group C2/m (No. 12); the cell edges are 7.484, 3.696 and 7.214 Å and the angles 90.00°, 110.27° and 90.00°. The inequivalent atoms are Pa at (0.068, 0.000, 0.296), P at (0.155, 0.500, 0.016) and C at (0.102, 0.500, 0.543).

Its energy of formation from the pure elements is -0.552 eV per atom. As for the calculated total energy: -8.595 eV/atom. For the density, the calculation gives 9724 kg/m³.

Pa4P2C: optimized geometry, GGA-PBE.

The structure belongs to space group I4/mmm (No. 139); the cell edges are 4.495, 4.495 and 14.769 Å and the angles 90.00°, 90.00° and 90.00°. The inequivalent atoms are Pa at (0.000, 0.000, 0.167), Pa at (0.000, 0.500, 0.000), P at (0.000, 0.000, 0.360) and C at (0.000, 0.000, 0.000).

Its energy of formation from the pure elements is -0.522 eV per atom. As for the calculated total energy: -8.812 eV/atom. For the density, the calculation gives 11109 kg/m³.

PaPC: optimized geometry, GGA-PBE.

The structure belongs to space group P-6m2 (No. 187); the cell edges are 3.9373, 3.9373 and 3.9016 Å and the angles 90.00°, 90.00° and 120.00°. The inequivalent atoms are Pa at (0.0000, 0.0000, 0.0000), P at (0.3333, 0.6667, 0.5000) and C at (0.6667, 0.3333, 0.0000).

Its energy of formation from the pure elements is 0.015 eV per atom. As for the calculated total energy: -8.028 eV/atom. For the density, the calculation gives 8687 kg/m³.

Please write out number 6 again, unchanged.
PaPC: optimized geometry, GGA-PBE.

The structure belongs to space group C2/m (No. 12); the cell edges are 7.484, 3.696 and 7.214 Å and the angles 90.00°, 110.27° and 90.00°. The inequivalent atoms are Pa at (0.068, 0.000, 0.296), P at (0.155, 0.500, 0.016) and C at (0.102, 0.500, 0.543).

Its energy of formation from the pure elements is -0.552 eV per atom. As for the calculated total energy: -8.595 eV/atom. For the density, the calculation gives 9724 kg/m³.

What is the formula in the third record? PC2

Which of these has the highest energy of formation from the pure elements? PC3

What is the energy of formation from the pure elements in the first record? 2.115 eV per atom